# MoIF2 | the Alexandria database | PBE+U | optimized geometry
data_MoIF2
_chemical_formula_sum 'Mo4 I4 F8'
_symmetry_space_group_name_H-M 'F m -3 m'
_symmetry_Int_Tables_number 225
_symmetry_space_group_name_Hall '-F 4 2 3'
_cell_length_a 6.487
_cell_length_b 6.487
_cell_length_c 6.487
_cell_angle_alpha 90.00
_cell_angle_beta 90.00
_cell_angle_gamma 90.00
loop_
_atom_site_label
_atom_site_type_symbol
_atom_site_fract_x
_atom_site_fract_y
_atom_site_fract_z
_atom_site_occupancy
Mo1 Mo 0.000 0.000 0.000 1
I1 I 0.000 0.000 0.500 1
F1 F 0.250 0.250 0.250 1
# **Total energy**: -0.1348 Ha/atom
# **Magnetization**: 3.000 μB/f.u.